(1)
A relaxed structure of RbMgInBi2. Source: Alexandria via LeMat-Bulk, functional PBE.

## Properties
The theoretical density comes out at 5.9 Mg/m³. The space group is No. 119. For the energy relative to the elements, the calculation gives -306 meV/atom.

Cell: 8.5738 8.5738 8.5738 Å, 147.63 147.63 46.43°
Last column: nearest neighbours and their distance in Å.
Fractional coordinates of all 5 atoms:
1 Rb 0.0000 0.0000 0.0000  8 Bi 3.96
2 Mg 0.7500 0.2500 0.5000  4 Bi 3.04, 4 In 3.38
3 In 0.2500 0.7500 0.5000  4 Bi 3.04, 4 Mg 3.38
4 Bi 0.3696 0.3696 0.0000  2 In 3.04, 2 Mg 3.04
5 Bi 0.6304 0.6304 0.0000  2 In 3.04, 2 Mg 3.04

(2)
A relaxed structure of CdCo4W. Source: Alexandria via LeMat-Bulk, functional PBE.

## Properties
The theoretical density comes out at 11.8 Mg/m³. The space group is No. 216. For the energy relative to the elements, the calculation gives 212 meV/atom.

Cell: 4.7356 4.7356 4.7356 Å, 60.00 60.00 60.00°
Last column: nearest neighbours and their distance in Å.
Fractional coordinates of all 6 atoms:
1 Cd 0.0000 0.0000 0.0000  12 Co 2.78, 4 W 2.90
2 Co 0.3747 0.3747 0.3747  6 Co 2.36-2.37
3 Co 0.3747 0.3747 0.8758  6 Co 2.36-2.37
4 Co 0.3747 0.8758 0.3747  6 Co 2.36-2.37
5 Co 0.8758 0.3747 0.3747  6 Co 2.36-2.37
6 W 0.7500 0.7500 0.7500  12 Co 2.78, 4 Cd 2.90

(3)
A relaxed structure of Ca2AlZn4Cu3. Source: Alexandria via LeMat-Bulk, functional PBE.

## Properties
The theoretical density comes out at 5.1 Mg/m³. The space group is No. 115. For the energy relative to the elements, the calculation gives -186 meV/atom.

Cell: 3.9982 3.9982 11.3832 Å, 90.00 90.00 90.00°
Last column: nearest neighbours and their distance in Å.
Fractional coordinates of all 10 atoms:
1 Ca 0.0000 0.5000 0.2448  4 Cu 3.08, 8 Zn 3.09-3.43
2 Ca 0.5000 0.0000 0.7552  4 Cu 3.08, 8 Zn 3.09-3.43
3 Al 0.0000 0.0000 0.5000  4 Zn 2.59, 4 Cu 2.83
4 Zn 0.0000 0.0000 0.0000  4 Cu 2.54, 4 Zn 2.83
5 Zn 0.0000 0.5000 0.6447  3 Cu 2.47-2.59, 2 Al 2.59
6 Zn 0.5000 0.0000 0.3553  3 Cu 2.47-2.59, 2 Al 2.59
7 Zn 0.5000 0.5000 0.0000  4 Cu 2.54, 4 Zn 2.83
8 Cu 0.0000 0.5000 0.8618  5 Zn 2.47-2.54
9 Cu 0.5000 0.0000 0.1382  5 Zn 2.47-2.54
10 Cu 0.5000 0.5000 0.5000  4 Zn 2.59, 4 Al 2.83

(4)
A relaxed structure of BaGaAu2. Source: Alexandria via LeMat-Bulk, functional PBE.

## Properties
The theoretical density comes out at 9.1 Mg/m³. The space group is No. 152. For the energy relative to the elements, the calculation gives -513 meV/atom.

Cell: 6.9343 6.9343 7.9167 Å, 90.00 90.00 120.00°
Last column: nearest neighbours and their distance in Å.
Fractional coordinates of all 12 atoms:
1 Ba 0.0000 0.6938 0.1667  8 Au 3.35-3.51, 2 Ga 3.60
2 Ba 0.3062 0.3062 0.5000  8 Au 3.35-3.51, 2 Ga 3.60
3 Ba 0.6938 0.0000 0.8333  8 Au 3.35-3.51, 2 Ga 3.60
4 Ga 0.0000 0.7485 0.6667  4 Au 2.63-2.68
5 Ga 0.2515 0.2515 0.0000  4 Au 2.63-2.68
6 Ga 0.7485 0.0000 0.3333  4 Au 2.63-2.68
7 Au 0.1742 0.5283 0.8239  2 Ga 2.63-2.68
8 Au 0.3540 0.8258 0.4906  2 Ga 2.63-2.68
9 Au 0.4717 0.6460 0.1572  2 Ga 2.63-2.68
10 Au 0.5283 0.1742 0.1761  2 Ga 2.63-2.68
11 Au 0.6460 0.4717 0.8428  2 Ga 2.63-2.68
12 Au 0.8258 0.3540 0.5094  2 Ga 2.63-2.68

(5)
A relaxed structure of Pr12Er5Cd2. Source: Alexandria via LeMat-Bulk, functional PBE.

## Properties
The theoretical density comes out at 7.1 Mg/m³. The space group is No. 12. For the energy relative to the elements, the calculation gives 37 meV/atom.

Cell: 8.8531 8.8531 8.6395 Å, 99.32 99.32 77.12°
Last column: nearest neighbours and their distance in Å.
Fractional coordinates of all 19 atoms:
1 Pr 0.0815 0.0815 0.1837  2 Er 3.38-3.43, 7 Pr 3.49-3.77
2 Pr 0.1079 0.5354 0.6908  1 Cd 3.28, 2 Pr 3.51-3.57, 2 Er 3.55-3.56
3 Pr 0.1349 0.6596 0.1208  1 Cd 3.29, 3 Er 3.41-3.56, 2 Pr 3.62-3.68
4 Pr 0.3404 0.8651 0.8792  1 Cd 3.29, 3 Er 3.41-3.56, 2 Pr 3.62-3.68
5 Pr 0.3613 0.3613 0.3827  2 Cd 3.47, 1 Er 3.59, 4 Pr 3.68-3.77
6 Pr 0.4646 0.8921 0.3092  1 Cd 3.28, 2 Pr 3.51-3.57, 2 Er 3.55-3.56
7 Pr 0.5354 0.1079 0.6908  1 Cd 3.28, 2 Pr 3.51-3.57, 2 Er 3.55-3.56
8 Pr 0.6387 0.6387 0.6173  2 Cd 3.47, 1 Er 3.59, 4 Pr 3.68-3.77
9 Pr 0.6596 0.1349 0.1208  1 Cd 3.29, 3 Er 3.41-3.56, 2 Pr 3.62-3.68
10 Pr 0.8651 0.3404 0.8792  1 Cd 3.29, 3 Er 3.41-3.56, 2 Pr 3.62-3.68
11 Pr 0.8921 0.4646 0.3092  1 Cd 3.28, 2 Pr 3.51-3.57, 2 Er 3.55-3.56
12 Pr 0.9185 0.9185 0.8163  2 Er 3.38-3.43, 7 Pr 3.49-3.77
13 Er 0.1277 0.1277 0.5832  2 Cd 3.20, 3 Pr 3.38-3.55, 2 Er 3.43-3.53
14 Er 0.2622 0.2622 0.9648  2 Er 3.24-3.43, 8 Pr 3.41-3.59
15 Er 0.5000 0.5000 0.0000  2 Er 3.24, 4 Pr 3.48
16 Er 0.7378 0.7378 0.0352  2 Er 3.24-3.43, 8 Pr 3.41-3.59
17 Er 0.8723 0.8723 0.4168  2 Cd 3.20, 3 Pr 3.38-3.55, 2 Er 3.43-3.53
18 Cd 0.2421 0.7579 0.5000  2 Er 3.20, 6 Pr 3.28-3.47
19 Cd 0.7579 0.2421 0.5000  2 Er 3.20, 6 Pr 3.28-3.47

(6)
A relaxed structure of ScSn2Rh. Source: Alexandria via LeMat-Bulk, functional PBE.

## Properties
The theoretical density comes out at 7.0 Mg/m³. The space group is No. 166. For the energy relative to the elements, the calculation gives -85 meV/atom.

Cell: 10.1234 10.1234 10.1234 Å, 18.56 18.56 18.56°
Last column: nearest neighbours and their distance in Å.
Fractional coordinates of all 4 atoms:
1 Sc 0.0000 0.0000 0.0000  2 Sn 2.96, 6 Sc 3.27
2 Sn 0.0993 0.0993 0.0993  3 Rh 2.76, 1 Sc 2.96
3 Sn 0.9007 0.9007 0.9007  3 Rh 2.76, 1 Sc 2.96
4 Rh 0.5000 0.5000 0.5000  6 Sn 2.76

(7)
A relaxed structure of Er3ThTl4Se8. Source: Alexandria via LeMat-Bulk, functional PBE.

## Properties
Its formation energy from raw total energies is -127 kJ per mole of atoms. The theoretical density comes out at 7.6 Mg/m³. The space group is No. 166.

Cell: 9.3168 9.3168 9.3168 Å, 52.98 52.98 52.98°
Last column: nearest neighbours and their distance in Å.
Fractional coordinates of all 16 atoms:
1 Er 0.0000 0.5000 0.5000  6 Se 2.87
2 Er 0.5000 0.0000 0.5000  6 Se 2.87
3 Er 0.5000 0.5000 0.0000  6 Se 2.87
4 Th 0.0000 0.0000 0.0000  6 Se 2.93
5 Tl 0.0000 0.0000 0.5000  6 Se 3.39-3.41
6 Tl 0.0000 0.5000 0.0000  6 Se 3.39-3.41
7 Tl 0.5000 0.0000 0.0000  6 Se 3.39-3.41
8 Tl 0.5000 0.5000 0.5000  6 Se 3.35
9 Se 0.2369 0.2369 0.7282  2 Er 2.87, 1 Th 2.93
10 Se 0.2369 0.7282 0.2369  2 Er 2.87, 1 Th 2.93
11 Se 0.2678 0.2678 0.2678  3 Er 2.87
12 Se 0.2718 0.7631 0.7631  2 Er 2.87, 1 Th 2.93
13 Se 0.7282 0.2369 0.2369  2 Er 2.87, 1 Th 2.93
14 Se 0.7322 0.7322 0.7322  3 Er 2.87
15 Se 0.7631 0.2718 0.7631  2 Er 2.87, 1 Th 2.93
16 Se 0.7631 0.7631 0.2718  2 Er 2.87, 1 Th 2.93

(8)
A relaxed structure of LiYFe2. Source: Alexandria via LeMat-Bulk, functional PBE.

## Properties
The offset from the most stable computed form is 92.8 meV/atom. The theoretical density comes out at 4.8 Mg/m³. The space group is No. 99. For the energy relative to the elements, the calculation gives 239 meV/atom.

Cell: 3.1781 3.1781 7.0902 Å, 90.00 90.00 90.00°
Last column: nearest neighbours and their distance in Å.
Fractional coordinates of all 4 atoms:
1 Li 0.0000 0.0000 0.0000  5 Fe 2.62-2.76
2 Y 0.5000 0.5000 0.3592  5 Fe 2.94-2.96, 4 Y 3.18
3 Fe 0.0000 0.0000 0.6303  4 Fe 2.47, 1 Li 2.62
4 Fe 0.5000 0.5000 0.7739  4 Fe 2.47, 4 Li 2.76

(9)
A relaxed structure of PmNdDy2Er2. Source: Alexandria via LeMat-Bulk, functional PBE.

## Properties
The theoretical density comes out at 7.9 Mg/m³. The space group is No. 58. For the energy relative to the elements, the calculation gives 279 meV/atom.

Cell: 6.6308 17.6717 3.3952 Å, 90.00 90.00 90.00°
Last column: nearest neighbours and their distance in Å.
Fractional coordinates of all 12 atoms:
1 Pm 0.0000 0.0000 0.0000  2 Dy 3.22, 2 Pm 3.40, 2 Er 3.55
2 Pm 0.5000 0.5000 0.5000  2 Dy 3.22, 2 Pm 3.40, 2 Er 3.55
3 Nd 0.0000 0.5000 0.0000  2 Nd 3.40, 4 Dy 3.52, 4 Pm 3.72
4 Nd 0.5000 0.0000 0.5000  2 Nd 3.40, 4 Dy 3.52, 4 Pm 3.72
5 Dy 0.2306 0.3483 0.5000  1 Pm 3.22, 4 Er 3.35-3.40, 2 Dy 3.40, 2 Nd 3.52
6 Dy 0.2694 0.8483 0.0000  1 Pm 3.22, 4 Er 3.35-3.40, 2 Dy 3.40, 2 Nd 3.52
7 Dy 0.7306 0.1517 0.0000  1 Pm 3.22, 4 Er 3.35-3.40, 2 Dy 3.40, 2 Nd 3.52
8 Dy 0.7694 0.6517 0.5000  1 Pm 3.22, 4 Er 3.35-3.40, 2 Dy 3.40, 2 Nd 3.52
9 Er 0.2322 0.1813 0.0000  4 Dy 3.35-3.40, 2 Er 3.40, 1 Pm 3.55
10 Er 0.2678 0.6813 0.5000  4 Dy 3.35-3.40, 2 Er 3.40, 1 Pm 3.55
11 Er 0.7322 0.3187 0.5000  4 Dy 3.35-3.40, 2 Er 3.40, 1 Pm 3.55
12 Er 0.7678 0.8187 0.0000  4 Dy 3.35-3.40, 2 Er 3.40, 1 Pm 3.55

(10)
A relaxed structure of NiMo2Cl. Source: Alexandria via LeMat-Bulk, functional PBE.

## Properties
The offset from the most stable computed form is 630.8 meV/atom. Its formation energy from raw total energies is 81 kJ per mole of atoms. The theoretical density comes out at 7.6 Mg/m³. The space group is No. 122.

Cell: 9.5613 9.5613 9.5613 Å, 157.72 157.72 31.72°
Last column: nearest neighbours and their distance in Å.
Fractional coordinates of all 8 atoms:
1 Ni 0.0000 0.0000 0.0000  4 Cl 2.61, 4 Mo 2.63
2 Ni 0.7500 0.2500 0.5000  4 Cl 2.61, 4 Mo 2.63
3 Mo 0.1112 0.6250 0.9862  4 Mo 2.54-2.69, 2 Ni 2.63, 2 Cl 2.66
4 Mo 0.3750 0.3612 0.4862  4 Mo 2.54-2.69, 2 Ni 2.63, 2 Cl 2.66
5 Mo 0.6388 0.1250 0.0138  4 Mo 2.54-2.69, 2 Ni 2.63, 2 Cl 2.66
6 Mo 0.8750 0.8888 0.5138  4 Mo 2.54-2.69, 2 Ni 2.63, 2 Cl 2.66
7 Cl 0.2500 0.7500 0.5000  4 Ni 2.61, 4 Mo 2.66
8 Cl 0.5000 0.5000 0.0000  4 Ni 2.61, 4 Mo 2.66

(11)
A relaxed structure of Hg2OsBr. Source: Alexandria via LeMat-Bulk, functional PBE.

## Properties
The offset from the most stable computed form is 197.2 meV/atom. Its formation energy from raw total energies is 75 kJ per mole of atoms. The theoretical density comes out at 12.5 Mg/m³. The space group is No. 166.

Cell: 12.0656 12.0656 12.0656 Å, 13.98 13.98 13.98°
Last column: nearest neighbours and their distance in Å.
Fractional coordinates of all 4 atoms:
1 Hg 0.2343 0.2343 0.2343  6 Hg 2.94, 3 Os 2.96
2 Hg 0.7657 0.7657 0.7657  6 Hg 2.94, 3 Os 2.96
3 Os 0.5000 0.5000 0.5000  6 Os 2.94, 6 Hg 2.96
4 Br 0.0000 0.0000 0.0000  6 Br 2.94

(12)
A relaxed structure of DyZr3Co8. Source: Alexandria via LeMat-Bulk, functional PBE.

## Properties
The theoretical density comes out at 8.9 Mg/m³. The space group is No. 160. For the energy relative to the elements, the calculation gives -269 meV/atom.

Cell: 8.5510 8.5510 8.5510 Å, 33.52 33.52 33.52°
Last column: nearest neighbours and their distance in Å.
Fractional coordinates of all 12 atoms:
1 Dy 0.0000 0.0000 0.0000  12 Co 2.89-2.93, 4 Zr 3.03-3.05
2 Zr 0.1261 0.1261 0.1261  12 Co 2.84-2.89, 3 Zr 3.02, 1 Dy 3.05
3 Zr 0.5005 0.5005 0.5005  12 Co 2.86-2.89, 4 Zr 2.99-3.02
4 Zr 0.6241 0.6241 0.6241  12 Co 2.90-2.96, 1 Zr 2.99, 3 Dy 3.03
5 Co 0.0622 0.0622 0.5588  6 Co 2.44-2.49
6 Co 0.0622 0.5588 0.0622  6 Co 2.44-2.49
7 Co 0.0666 0.5633 0.5633  6 Co 2.44-2.50
8 Co 0.3126 0.3126 0.3126  6 Co 2.49-2.50
9 Co 0.5588 0.0622 0.0622  6 Co 2.44-2.49
10 Co 0.5633 0.0666 0.5633  6 Co 2.44-2.50
11 Co 0.5633 0.5633 0.0666  6 Co 2.44-2.50
12 Co 0.8129 0.8129 0.8129  6 Co 2.44

> Which of these has the lowest theoretical density?

LiYFe2

> The lowest theoretical density belongs to which entry?

LiYFe2

> Among the records above, which one has the highest theoretical density?

Hg2OsBr